# 1
A plane-wave DFT calculation with PBE was carried out for a geometry-optimized LaTmZnRu structure.

Summary:
Crystal system: cubic
ΔH_f (0 K) (eV per formula unit): -1.14
Volume (Å³ per cell): 89.03

a = 5.012 Å, b = 5.012 Å, c = 5.012 Å
α = 60.00°, β = 60.00°, γ = 60.00°
Atoms (fractional coordinates):
La1 0.500 0.500 0.500
Ru1 0.250 0.250 0.250
Tm1 0.000 0.000 0.000
Zn1 0.750 0.750 0.750


# 2
A plane-wave DFT calculation with PBE was carried out for a geometry-optimized Ni2PbCl structure.

Summary:
Crystal system: orthorhombic
Excess energy over the best structure of this formula in the dataset (kJ/mol of formula units): 127
Volume (Å³ per cell): 71.63
Energy relative to the elements, uncorrected (kJ/mol of atoms): 37

a = 3.203 Å, b = 5.535 Å, c = 4.040 Å
α = 90.00°, β = 90.00°, γ = 90.00°
Atoms (fractional coordinates):
Cl1 0.000 0.500 0.500
Pb1 0.500 0.000 0.500
Ni1 0.000 0.000 0.000
Ni2 0.500 0.500 0.000


# 3
A plane-wave DFT calculation with PBE was carried out for a geometry-optimized SrHSN2 structure.

Summary:
Crystal system: tetragonal
Excess energy over the best structure of this formula in the dataset (kJ/mol of formula units): 376
Volume (Å³ per cell): 163.71

a = 5.248 Å, b = 5.248 Å, c = 5.944 Å
α = 90.00°, β = 90.00°, γ = 90.00°
Atoms (fractional coordinates):
H1 0.500 0.500 0.500
N1 0.000 0.500 0.000
N2 0.500 0.000 0.000
S1 0.000 0.000 0.500
Sr1 0.000 0.000 0.000


# 4
A plane-wave DFT calculation with PBE was carried out for a geometry-optimized Ca2La7Nd2 structure.

Summary:
Crystal system: monoclinic
ΔH_f (0 K) (eV per formula unit): 1.09
Volume (Å³ per cell): 414.21

a = 3.759 Å, b = 11.185 Å, c = 11.185 Å
α = 67.02°, β = 75.96°, γ = 75.96°
Atoms (fractional coordinates):
Nd1 0.500 0.756 0.244
Nd2 0.500 0.244 0.756
La1 0.450 0.405 0.405
La2 0.846 0.902 0.433
La3 0.550 0.595 0.595
La4 0.154 0.567 0.098
La5 0.154 0.098 0.567
La6 0.846 0.433 0.902
La7 0.000 0.000 0.000
Ca1 0.745 0.799 0.799
Ca2 0.255 0.201 0.201


| no. | N(E_F) (states/eV per atom) |
| --- | --- |
| 1 | 0.857 |
| 2 | 0.948 |
| 3 | 0.826 |
| 4 | 1.472 |